(w)
## RbZn2Ru (PBE)

Data for crystalline RbZn2Ru at its relaxed geometry.

Calculated values
Density of states at the Fermi level = 3.94 states/eV per cell
Space group = No. 225

Cell lengths 4.898, 4.898, 4.898 Å; angles 60.00, 60.00, 60.00 degrees
Each line ends with the local moment (μB).
Fractional coordinates of all 4 atoms:
Ru (0.500, 0.500, 0.500)  0.33
Zn (0.250, 0.250, 0.250)  -0.01
Zn (0.750, 0.750, 0.750)  -0.01
Rb (0.000, 0.000, 0.000)  0.00


(x)
## RbZn2Ru (PBE)

Data for crystalline RbZn2Ru at its relaxed geometry.

Calculated values
Density of states at the Fermi level = 5.55 states/eV per cell
Space group = No. 141

Cell lengths 5.546, 5.546, 8.988 Å; angles 72.03, 72.03, 90.00 degrees
Each line ends with the local moment (μB).
Fractional coordinates of all 8 atoms:
Ru (0.000, 0.000, 0.000)  0.77
Ru (0.750, 0.250, 0.500)  0.77
Zn (0.875, 0.125, 0.250)  -0.01
Zn (0.875, 0.625, 0.250)  -0.01
Zn (0.375, 0.125, 0.750)  -0.01
Zn (0.875, 0.125, 0.750)  0.00
Rb (0.500, 0.500, 0.000)  0.00
Rb (0.250, 0.750, 0.500)  0.00


Ordering by calculated energy gives the sequence (x), (w), with the first entry being the most stable.


(w)
## RbZr3Ru (PBE)

Data for crystalline RbZr3Ru at its relaxed geometry.

Calculated values
Density of states at the Fermi level = 7.74 states/eV per cell
Space group = No. 221

Cell lengths 4.919, 4.919, 4.919 Å; angles 90.00, 90.00, 90.00 degrees
Fractional coordinates of all 5 atoms:
Ru (0.500, 0.500, 0.500)
Rb (0.000, 0.000, 0.000)
Zr (0.000, 0.500, 0.000)
Zr (0.000, 0.000, 0.500)
Zr (0.500, 0.000, 0.000)


(x)
## RbZr3Ru (PBE)

Data for crystalline RbZr3Ru at its relaxed geometry.

Calculated values
Density of states at the Fermi level = 5.51 states/eV per cell
Space group = No. 221

Cell lengths 5.203, 5.203, 5.203 Å; angles 90.00, 90.00, 90.00 degrees
Fractional coordinates of all 5 atoms:
Ru (0.000, 0.000, 0.000)
Rb (0.500, 0.500, 0.500)
Zr (0.000, 0.500, 0.000)
Zr (0.000, 0.000, 0.500)
Zr (0.500, 0.000, 0.000)


Ordering by calculated energy gives the sequence (x), (w), with the first entry being the most stable.


(w)
## RbZrRu2 (PBE)

Data for crystalline RbZrRu2 at its relaxed geometry.

Calculated values
Density of states at the Fermi level = 3.53 states/eV per cell
Space group = No. 225

Cell lengths 4.803, 4.803, 4.803 Å; angles 60.00, 60.00, 60.00 degrees
Fractional coordinates of all 4 atoms:
Ru (0.250, 0.250, 0.250)
Ru (0.750, 0.750, 0.750)
Rb (0.000, 0.000, 0.000)
Zr (0.500, 0.500, 0.500)


(x)
## RbZrRu2 (PBE)

Data for crystalline RbZrRu2 at its relaxed geometry.

Calculated values
Density of states at the Fermi level = 9.73 states/eV per cell
Space group = No. 122

Cell lengths 5.087, 5.087, 9.588 Å; angles 74.62, 74.62, 90.00 degrees
Fractional coordinates of all 8 atoms:
Ru (0.849, 0.125, 0.250)
Ru (0.901, 0.625, 0.250)
Ru (0.375, 0.151, 0.750)
Ru (0.875, 0.099, 0.750)
Rb (0.500, 0.500, 0.000)
Rb (0.250, 0.750, 0.500)
Zr (0.000, 0.000, 0.000)
Zr (0.750, 0.250, 0.500)


Ordering by calculated energy gives the sequence (w), (x), with the first entry being the most stable.


(w)
## Rb2S3 (PBE)

Data for crystalline Rb2S3 at its relaxed geometry.

Calculated values
Space group = No. 43

Cell lengths 4.902, 8.001, 9.573 Å; angles 85.50, 75.17, 72.16 degrees
Fractional coordinates of all 10 atoms:
Rb (0.767, 0.938, 0.724)
Rb (0.429, 0.062, 0.276)
Rb (0.955, 0.562, 0.224)
Rb (0.741, 0.438, 0.776)
S (0.447, 0.774, 0.028)
S (0.249, 0.226, 0.972)
S (0.471, 0.726, 0.528)
S (0.725, 0.274, 0.472)
S (0.108, 0.000, 0.000)
S (0.358, 0.500, 0.500)


(x)
## Rb2S3 (PBE)

Data for crystalline Rb2S3 at its relaxed geometry.

Calculated values
Space group = No. 36

Cell lengths 6.545, 6.545, 7.960 Å; angles 90.00, 90.00, 109.43 degrees
Fractional coordinates of all 10 atoms:
Rb (0.580, 0.420, 0.191)
Rb (0.420, 0.580, 0.691)
Rb (0.106, 0.894, 0.462)
Rb (0.894, 0.106, 0.962)
S (0.066, 0.382, 0.348)
S (0.934, 0.618, 0.848)
S (0.618, 0.934, 0.348)
S (0.382, 0.066, 0.848)
S (0.200, 0.800, 0.993)
S (0.800, 0.200, 0.493)


Ordering by calculated energy gives the sequence (x), (w), with the first entry being the most stable.


(w)
## RbS4 (PBE)

Data for crystalline RbS4 at its relaxed geometry.

Calculated values
Density of states at the Fermi level = 8.91 states/eV per cell
Space group = No. 221

Cell lengths 6.329, 6.329, 6.329 Å; angles 90.00, 90.00, 90.00 degrees
Each line ends with the local moment (μB).
Fractional coordinates of all 5 atoms:
S (0.000, 0.000, 0.000)  1.16
S (0.500, 0.000, 0.500)  0.97
S (0.000, 0.500, 0.500)  0.97
S (0.500, 0.500, 0.000)  0.97
Rb (0.500, 0.500, 0.500)  0.02


(x)
## RbS4 (PBE)

Data for crystalline RbS4 at its relaxed geometry.

Calculated values
Density of states at the Fermi level = 2.90 states/eV per cell
Space group = No. 12

Cell lengths 6.880, 6.221, 5.937 Å; angles 90.00, 52.30, 63.12 degrees
Fractional coordinates of all 5 atoms:
Rb (0.000, 0.000, 0.000)
S (0.642, 0.679, 0.181)
S (0.358, 0.321, 0.819)
S (0.796, 0.602, 0.378)
S (0.204, 0.398, 0.622)


Ordering by calculated energy gives the sequence (x), (w), with the first entry being the most stable.


(w)
## Rb3S (PBE)

Data for crystalline Rb3S at its relaxed geometry.

Calculated values
Density of states at the Fermi level = 2.02 states/eV per cell
Space group = No. 44

Cell lengths 4.506, 8.583, 8.408 Å; angles 120.69, 105.54, 90.00 degrees
Fractional coordinates of all 4 atoms:
S (0.000, 0.044, 0.000)
Rb (0.356, 0.760, 0.711)
Rb (0.500, 0.313, 0.000)
Rb (0.644, 0.049, 0.289)


(x)
## Rb3S (PBE)

Data for crystalline Rb3S at its relaxed geometry.

Calculated values
Density of states at the Fermi level = 1.45 states/eV per cell
Space group = No. 115

Cell lengths 4.736, 4.735, 9.477 Å; angles 90.00, 90.00, 90.00 degrees
Fractional coordinates of all 4 atoms:
S (0.000, 0.000, 0.084)
Rb (0.000, 0.500, 0.365)
Rb (0.500, 0.500, 0.083)
Rb (0.500, 0.000, 0.802)


Ordering by calculated energy gives the sequence (w), (x), with the first entry being the most stable.